Ba8CuIr2 | PBE-GGA | optimized geometry

Lattice parameters (Å, degrees): 7.2625 9.6081 9.6362 60.35 89.97 89.99
Last column: nearest neighbours and their distance in Å.
Space group P-1 (No. 2)
Inequivalent atoms, fractional coordinates:
Ba 0.2406 0.3335 0.3357  1 Ir 2.90
Ba 0.2563 0.8325 0.8340  1 Ir 2.88
Ba 0.2566 0.3328 0.8352  1 Ir 2.88
Ba 0.2570 0.8348 0.3322  1 Ir 2.89
Cu 0.5000 0.0000 0.0000  6 Ba 3.29
Ir 0.3595 0.6664 0.6651  4 Ba 2.88-2.90

For the energy of formation from the pure elements, the calculation gives 0.082 eV/atom.


CeSm6Ho2Tm3 | PBE-GGA | optimized geometry

Lattice parameters (Å, degrees): 6.1918 10.7257 11.7823 90.00 100.10 90.00
Last column: nearest neighbours and their distance in Å.
Space group C2/m (No. 12)
Inequivalent atoms, fractional coordinates:
Ce 0.0000 0.0000 0.0000  6 Sm 3.56-3.57, 6 Ho 3.57-3.58
Sm 0.2481 0.0000 0.7488  3 Tm 3.55, 6 Sm 3.56-3.59, 1 Ce 3.57, 2 Ho 3.57
Sm 0.2492 0.1658 0.2511  3 Tm 3.55, 6 Sm 3.56-3.59, 1 Ce 3.56, 2 Ho 3.57
Ho 0.0000 0.3335 0.0000  3 Ho 3.57-3.58, 6 Sm 3.57, 3 Ce 3.57-3.58
Tm 0.0000 0.1672 0.5000  6 Sm 3.55, 6 Tm 3.57-3.59
Tm 0.0000 0.5000 0.5000  6 Sm 3.55, 6 Tm 3.57-3.58

For the energy of formation from the pure elements, the calculation gives 0.040 eV/atom.


YAg5 | PBE-GGA | optimized geometry

Lattice parameters (Å, degrees): 4.5024 11.8546 4.4804 90.00 90.00 90.00
Last column: nearest neighbours and their distance in Å.
Space group Cmmm (No. 65)
Inequivalent atoms, fractional coordinates:
Y 0.0000 0.0000 0.0000  12 Ag 3.03-3.18
Ag 0.0000 0.1738 0.5000  10 Ag 2.89-3.18, 2 Y 3.04
Ag 0.0000 0.3286 0.0000  10 Ag 2.90-3.18, 2 Y 3.03
Ag 0.0000 0.5000 0.5000  8 Ag 3.02-3.05, 4 Y 3.18

For the energy of formation from the pure elements, the calculation gives -0.092 eV/atom.


ZrSbCl | PBE-GGA | optimized geometry

Lattice parameters (Å, degrees): 7.0151 7.0151 7.0151 90.00 90.00 90.00
Last column: nearest neighbours and their distance in Å.
Space group F-43m (No. 216)
Inequivalent atoms, fractional coordinates:
Zr 0.0000 0.0000 0.0000  4 Sb 3.04
Sb 0.2500 0.2500 0.7500  4 Zr 3.04, 4 Cl 3.04
Cl 0.0000 0.0000 0.5000  4 Sb 3.04

Its polymorph energy (0 for the lowest one) is 941 meV per atom. Its formation energy (no corrections) is 0.023 eV per atom.


Tb3Cu4Ni2 | PBE-GGA | optimized geometry

Lattice parameters (Å, degrees): 10.3544 4.0956 8.1763 90.00 109.89 90.00
Last column: nearest neighbours and their distance in Å.
Space group C2/m (No. 12)
Inequivalent atoms, fractional coordinates:
Tb 0.0000 0.0000 0.0000  4 Ni 2.95, 8 Cu 2.98-3.09
Tb 0.1741 0.5000 0.6582  4 Ni 2.97-3.14, 8 Cu 3.00-3.14
Cu 0.0463 0.0000 0.3818  2 Ni 2.40, 1 Cu 2.43
Cu 0.2204 0.5000 0.0585  1 Ni 2.42, 2 Cu 2.43
Ni 0.1061 0.5000 0.2717  3 Cu 2.40-2.42

For the energy of formation from the pure elements, the calculation gives -0.301 eV/atom.


BeCu2Pd2 | PBE-GGA | optimized geometry

Lattice parameters (Å, degrees): 5.8872 5.8872 3.9929 90.00 90.00 90.00
Last column: nearest neighbours and their distance in Å.
Space group P4/mbm (No. 127)
Inequivalent atoms, fractional coordinates:
Be 0.0000 0.0000 0.0000  4 Pd 2.22
Cu 0.1519 0.3481 0.5000  1 Cu 2.53, 6 Pd 2.55-2.70
Pd 0.1570 0.6570 0.0000  2 Be 2.22

Its polymorph energy (0 for the lowest one) is 251 meV per atom. For the energy of formation from the pure elements, the calculation gives -0.075 eV/atom.